Entry 1:
{
  "formula": "Fe3BiIr",
  "functional": "PBEsol",
  "state": "optimized geometry",
  "cell": [[4.6172, 0.0000, 0.0000], [0.0000, 4.6172, 0.0000], [0.0000, 0.0000, 4.6172]],
  "species": ["Fe", "Fe", "Fe", "Bi", "Ir"],
  "fractional_positions": [[0.0000, 0.0000, 0.5000], [0.0000, 0.5000, 0.0000], [0.5000, 0.0000, 0.0000], [0.5000, 0.5000, 0.5000], [0.0000, 0.0000, 0.0000]],
  "final_energy_ev_per_cell": -35.326,
  "e_form_ev_per_atom": 1.135
}

Entry 2:
{
  "formula": "ZrAl2Sb2",
  "functional": "PBEsol",
  "state": "optimized geometry",
  "cell": [[7.4796, 0.0000, 0.0000], [0.0000, 7.4796, 0.0000], [0.0000, 0.0000, 3.8834]],
  "species": ["Zr", "Zr", "Al", "Al", "Al", "Al", "Sb", "Sb", "Sb", "Sb"],
  "fractional_positions": [[0.0000, 0.0000, 0.0000], [0.5000, 0.5000, 0.0000], [0.1556, 0.3444, 0.5000], [0.3444, 0.8444, 0.5000], [0.6556, 0.1556, 0.5000], [0.8444, 0.6556, 0.5000], [0.1493, 0.6493, 0.0000], [0.3507, 0.1493, 0.0000], [0.6493, 0.8507, 0.0000], [0.8507, 0.3507, 0.0000]],
  "final_energy_ev_per_cell": -53.217
}

Entry 3:
{
  "formula": "ZrTeRh2",
  "functional": "PBEsol",
  "state": "optimized geometry",
  "cell": [[0.0000, 3.2557, 3.2557], [3.2557, 0.0000, 3.2557], [3.2557, 3.2557, 0.0000]],
  "species": ["Zr", "Te", "Rh", "Rh"],
  "fractional_positions": [[0.0000, 0.0000, 0.0000], [0.5000, 0.5000, 0.5000], [0.2500, 0.2500, 0.2500], [0.7500, 0.7500, 0.7500]],
  "de_polymorph_kj_per_mol_atoms": 6.3,
  "final_energy_ev_per_cell": -30.697
}

Entry 4:
{
  "formula": "BeCuSe2",
  "functional": "PBEsol",
  "state": "optimized geometry",
  "cell": [[3.3154, 0.0000, 0.0000], [0.0000, 3.3154, 0.0000], [0.0000, 0.0000, 6.2587]],
  "species": ["Be", "Cu", "Se", "Se"],
  "fractional_positions": [[0.0000, 0.0000, 0.0000], [0.5000, 0.5000, 0.2488], [0.0000, 0.0000, 0.3652], [0.5000, 0.5000, 0.8650]],
  "final_energy_ev_per_cell": -16.610
}

Entry 5:
{
  "formula": "LaMoP2",
  "functional": "PBEsol",
  "state": "optimized geometry",
  "cell": [[1.9137, 1.1048, 6.0738], [-1.9137, 1.1048, 6.0738], [0.0000, -2.2097, 6.0738]],
  "species": ["La", "Mo", "P", "P"],
  "fractional_positions": [[0.0000, 0.0000, 0.0000], [0.5000, 0.5000, 0.5000], [0.2318, 0.2318, 0.2318], [0.7682, 0.7682, 0.7682]],
  "de_polymorph_kj_per_mol_atoms": 0.0,
  "final_energy_ev_per_cell": -31.963,
  "e_form_ev_per_atom": -0.816
}

Entry 6:
{
  "formula": "FeIr2W",
  "functional": "PBEsol",
  "state": "optimized geometry",
  "cell": [[-1.9113, 1.9113, 3.7531], [1.9113, -1.9113, 3.7531], [1.9113, 1.9113, -3.7531]],
  "species": ["Fe", "Ir", "Ir", "W"],
  "fractional_positions": [[0.0000, 0.0000, 0.0000], [0.2500, 0.7500, 0.5000], [0.7500, 0.2500, 0.5000], [0.5000, 0.5000, 0.0000]],
  "de_polymorph_kj_per_mol_atoms": 0.1,
  "final_energy_ev_per_cell": -43.325,
  "e_form_ev_per_atom": -0.227
}

Entry 7:
{
  "formula": "Re2TcTe",
  "functional": "PBEsol",
  "state": "optimized geometry",
  "cell": [[-1.5322, 2.2347, 4.5948], [1.5322, -2.2347, 4.5948], [1.5322, 2.2347, -4.5948]],
  "species": ["Re", "Re", "Tc", "Te"],
  "fractional_positions": [[0.2321, 0.2321, 0.0000], [0.7679, 0.7679, 0.0000], [0.5000, 0.0000, 0.5000], [0.0000, 0.5000, 0.5000]],
  "final_energy_ev_per_cell": -39.197
}

Entry 8:
{
  "formula": "Ca",
  "functional": "PBEsol",
  "state": "optimized geometry",
  "cell": [[-1.9263, 1.9263, 2.7199], [1.9263, -1.9263, 2.7199], [1.9263, 1.9263, -2.7199]],
  "species": ["Ca"],
  "fractional_positions": [[0.0000, 0.0000, 0.0000]],
  "de_polymorph_kj_per_mol_atoms": 0.0,
  "final_energy_ev_per_cell": -2.133,
  "e_form_ev_per_atom": 0.000
}

Entry 9:
{
  "formula": "Gd5Y3O12",
  "functional": "PBEsol",
  "state": "optimized geometry",
  "cell": [[-5.3259, 5.3284, 5.3314], [5.3259, -5.3284, 5.3314], [5.3259, 5.3284, -5.3314]],
  "species": ["Gd", "Gd", "Gd", "Gd", "Gd", "Gd", "Gd", "Gd", "Gd", "Gd", "Y", "Y", "Y", "Y", "Y", "Y", "O", "O", "O", "O", "O", "O", "O", "O", "O", "O", "O", "O", "O", "O", "O", "O", "O", "O", "O", "O", "O", "O", "O", "O"],
  "fractional_positions": [[0.0316, 0.7500, 0.7816], [0.2183, 0.4683, 0.7500], [0.2500, 0.2823, 0.0323], [0.2817, 0.0317, 0.2500], [0.4684, 0.2500, 0.7184], [0.5325, 0.7500, 0.2825], [0.7167, 0.9667, 0.7500], [0.7500, 0.2177, 0.4677], [0.7833, 0.5333, 0.2500], [0.9675, 0.2500, 0.2175], [0.0004, 0.9994, 0.4986], [0.0008, 0.5018, 0.0014], [0.2500, 0.7831, 0.5331], [0.4992, 0.5006, 0.5010], [0.4996, 0.9982, 0.9990], [0.7500, 0.7169, 0.9669], [0.0109, 0.2372, 0.4691], [0.0280, 0.7688, 0.0411], [0.0442, 0.5338, 0.2711], [0.2276, 0.9869, 0.4589], [0.2319, 0.2628, 0.2738], [0.2370, 0.2263, 0.7675], [0.2630, 0.0305, 0.9893], [0.2681, 0.5418, 0.0309], [0.2724, 0.7312, 0.7592], [0.4558, 0.7269, 0.4896], [0.4720, 0.5131, 0.7408], [0.4891, 0.9582, 0.2262], [0.5085, 0.0393, 0.7724], [0.5314, 0.4902, 0.2640], [0.5412, 0.2737, 0.5107], [0.7262, 0.2673, 0.2360], [0.7331, 0.4607, 0.9691], [0.7373, 0.9662, 0.0104], [0.7627, 0.7731, 0.2289], [0.7669, 0.7360, 0.7276], [0.7738, 0.0098, 0.5412], [0.9588, 0.4695, 0.7325], [0.9686, 0.2327, 0.9588], [0.9915, 0.7640, 0.5309]],
  "final_energy_ev_per_cell": -453.652
}

Entry 10:
{
  "formula": "ZrSiRu2",
  "functional": "PBEsol",
  "state": "optimized geometry",
  "cell": [[4.2574, 0.0000, 0.0000], [0.0000, 4.2574, 0.0000], [0.0000, 0.0000, 3.1929]],
  "species": ["Zr", "Si", "Ru", "Ru"],
  "fractional_positions": [[0.0000, 0.0000, 0.0000], [0.5000, 0.5000, 0.0000], [0.0000, 0.5000, 0.5000], [0.5000, 0.0000, 0.5000]],
  "final_energy_ev_per_cell": -37.962
}

Entry 11:
{
  "formula": "Si3Ni",
  "functional": "PBEsol",
  "state": "optimized geometry",
  "cell": [[-1.7421, 2.0294, 3.5642], [1.7421, -2.0294, 3.5642], [1.7421, 2.0294, -3.5642]],
  "species": ["Si", "Si", "Si", "Ni"],
  "fractional_positions": [[0.0000, 0.0000, 0.0000], [0.2525, 0.7525, 0.5000], [0.7475, 0.2475, 0.5000], [0.5000, 0.5000, 0.0000]],
  "final_energy_ev_per_cell": -23.010
}

Entry 12:
{
  "formula": "ScRuN3",
  "functional": "PBEsol",
  "state": "optimized geometry",
  "cell": [[3.7963, 0.0000, 0.0000], [0.0000, 3.7963, 0.0000], [0.0000, 0.0000, 3.7963]],
  "species": ["Sc", "Ru", "N", "N", "N"],
  "fractional_positions": [[0.0000, 0.0000, 0.0000], [0.5000, 0.5000, 0.5000], [0.0000, 0.5000, 0.5000], [0.5000, 0.0000, 0.5000], [0.5000, 0.5000, 0.0000]],
  "final_energy_ev_per_cell": -41.830
}